DFT (PBE-GGA) results for a relaxed structure of BeInGaS2.

Summary:
As for the total magnetic moment: 0.000 μB/cell. The value obtained for the energy is -2.651 eV/atom. The energy above the most stable polymorph in this dataset is 0.721 eV per atom. The uncorrected formation energy comes out at 0.90 eV/atom.

```
data_BeInGaS2
_cell_length_a 4.9801
_cell_length_b 4.9801
_cell_length_c 5.6363
_cell_angle_alpha 90.00
_cell_angle_beta 90.00
_cell_angle_gamma 90.00
_space_group_name_H-M_alt 'P 4/m m m'
_space_group_IT_number 123
_space_group_name_Hall '-P 4 2'
loop_
_atom_site_label
_atom_site_type_symbol
_atom_site_fract_x
_atom_site_fract_y
_atom_site_fract_z
Be1 Be 0.0000 0.0000 0.0000
In1 In 0.5000 0.5000 0.5000
Ga1 Ga 0.5000 0.5000 0.0000
S1 S 0.0000 0.5000 0.5000
```